No. 1
Density functional theory data (PBE) for ZnCdSi after structural relaxation.

theoretical density	5.8	g/cm³
raw total energy	-0.083	hartree per atom
raw formation energy	0.2784	eV/atom

Cell: 4.1724 4.1724 3.8942 Å, 90.00 90.00 120.00°
With the nearest neighbours (Å) after each atom.
Fractional positions:
Cd 0.0000 0.0000 0.0001  6 Si 3.10, 6 Zn 3.10
Si 0.3333 0.6667 0.4999  3 Zn 2.41
Zn 0.6667 0.3333 0.5001  3 Si 2.41

No. 2
Density functional theory data (PBE) for LiSnIN2 after structural relaxation.

theoretical density	4.0	g/cm³
raw total energy	-0.149	hartree per atom
raw formation energy	0.7631	eV/atom
ΔE to the lowest computed polymorph	0.0	kJ per mole of atoms

Cell: 4.1051 4.1051 6.8531 Å, 90.00 90.00 90.00°
With the nearest neighbours (Å) after each atom.
Fractional positions:
I 0.0000 0.0000 0.5000  4 Li 2.90
Li 0.5000 0.5000 0.5000  4 I 2.90
Sn 0.0000 0.0000 0.0000  4 N 2.05
N 0.0000 0.5000 0.0000  2 Sn 2.05
N 0.5000 0.0000 0.0000  2 Sn 2.05

No. 3
Density functional theory data (PBE) for Ac6Tl2C after structural relaxation.

theoretical density	8.9	g/cm³
energy relative to the elements	-110	kJ/mol of formula units
raw total energy	-0.162	hartree per atom

Cell: 7.3965 7.8826 11.3667 Å, 90.00 90.08 90.00°
With the nearest neighbours (Å) after each atom.
Fractional positions:
Ac 0.0789 0.0091 0.2635  1 C 2.75
Ac 0.1845 0.2963 0.5301  1 C 2.73
Ac 0.1960 0.3158 0.9637  1 C 2.71
Ac 0.3040 0.8158 0.5363  1 C 2.71
Ac 0.3155 0.7963 0.9699  1 C 2.73
Ac 0.4211 0.5091 0.2365  1 C 2.75
Ac 0.9211 0.9909 0.7365  1 C 2.75
Ac 0.8155 0.7037 0.4699  1 C 2.73
Ac 0.8040 0.6842 0.0363  1 C 2.71
Ac 0.6960 0.1842 0.4637  1 C 2.71
Ac 0.6845 0.2037 0.0301  1 C 2.73
Ac 0.5789 0.4909 0.7635  1 C 2.75
Tl 0.0435 0.5691 0.7459  7 Ac 3.37-3.71
Tl 0.4565 0.0691 0.7541  7 Ac 3.37-3.71
Tl 0.5435 0.9309 0.2459  7 Ac 3.37-3.71
Tl 0.9565 0.4309 0.2541  7 Ac 3.37-3.71
C 0.5000 0.5000 0.0000  6 Ac 2.71-2.75
C 0.0000 0.0000 0.5000  6 Ac 2.71-2.75

No. 4
Density functional theory data (PBE) for Tb7Nd2Sm2 after structural relaxation.

theoretical density	7.6	g/cm³
energy relative to the elements	157	kJ/mol of formula units
raw total energy	-0.166	hartree per atom

Cell: 8.1174 10.4956 8.1174 Å, 126.08 88.34 53.92°
With the nearest neighbours (Å) after each atom.
Fractional positions:
Tb 0.2358 0.6761 0.2403  6 Tb 3.26-3.65, 2 Sm 3.31-3.47
Tb 0.7597 0.6761 0.7642  6 Tb 3.26-3.65, 2 Sm 3.31-3.47
Tb 0.6525 0.0787 0.3475  5 Tb 3.38-3.59, 3 Nd 3.47-3.76, 2 Sm 3.50
Tb 0.0000 0.5000 0.0000  6 Tb 3.32-3.46
Tb 0.3475 0.9213 0.6525  5 Tb 3.38-3.59, 3 Nd 3.47-3.76, 2 Sm 3.50
Tb 0.7642 0.3239 0.7597  6 Tb 3.26-3.65, 2 Sm 3.31-3.47
Tb 0.2403 0.3239 0.2358  6 Tb 3.26-3.65, 2 Sm 3.31-3.47
Nd 0.2154 0.6917 0.7846  7 Tb 3.47-3.80, 2 Nd 3.51-3.72, 2 Sm 3.77
Nd 0.7846 0.3083 0.2154  7 Tb 3.47-3.80, 2 Nd 3.51-3.72, 2 Sm 3.77
Sm 0.7133 0.0000 0.7133  6 Tb 3.31-3.50
Sm 0.2867 0.0000 0.2867  6 Tb 3.31-3.50

| no. | spin magnetization (μB per cell) | Fermi-level density of states (states/eV/cell) |
| --- | --- | --- |
| 1 | 0.00 | 1.0 |
| 2 | 1.82 | 3.0 |
| 3 | 0.00 | 18.2 |
| 4 | 0.00 | 17.8 |